(1)
Below is a relaxed structure of CaTl3In2, with properties calculated at the PBE level.

a = 6.597 Å, b = 8.939 Å, c = 8.939 Å
α = 42.28°, β = 90.00°, γ = 90.00°
Fractional positions:
1 Ca 0.750 0.237 0.763
2 Ca 0.250 0.763 0.237
3 Tl 0.750 0.735 0.265
4 Tl 0.250 0.265 0.735
5 Tl 0.750 0.296 0.347
6 Tl 0.250 0.704 0.653
7 Tl 0.750 0.653 0.704
8 Tl 0.250 0.347 0.296
9 In 0.000 0.151 0.151
10 In 0.500 0.849 0.849
11 In 0.000 0.849 0.849
12 In 0.500 0.151 0.151

Values from the calculation:
- E_tot (eV per atom) = -2.530

---

(2)
Below is a relaxed structure of Cs2K16Ba, with properties calculated at the PBE level.

a = 11.575 Å, b = 11.575 Å, c = 11.575 Å
α = 81.48°, β = 81.48°, γ = 81.48°
Fractional positions:
1 Cs 0.673 0.673 0.673
2 Cs 0.334 0.334 0.334
3 K 0.704 0.998 0.294
4 K 0.998 0.294 0.704
5 K 0.294 0.704 0.998
6 K 0.998 0.704 0.294
7 K 0.704 0.294 0.998
8 K 0.294 0.998 0.704
9 K 0.363 0.827 0.363
10 K 0.827 0.363 0.363
11 K 0.363 0.363 0.827
12 K 0.651 0.135 0.651
13 K 0.135 0.651 0.651
14 K 0.651 0.651 0.135
15 K 0.007 0.491 0.007
16 K 0.491 0.007 0.007
17 K 0.007 0.007 0.491
18 K 0.102 0.102 0.102
19 Ba 0.905 0.905 0.905

Values from the calculation:
- E_tot (eV per atom) = -1.075

---

(3)
Below is a relaxed structure of Sr2Li4Ga, with properties calculated at the PBE level.

a = 5.003 Å, b = 5.003 Å, c = 9.035 Å
α = 73.93°, β = 73.93°, γ = 90.00°
Fractional positions:
1 Sr 0.637 0.637 0.726
2 Sr 0.363 0.363 0.274
3 Ga 0.000 0.000 0.000
4 Li 0.847 0.847 0.306
5 Li 0.153 0.153 0.694
6 Li 0.000 0.500 0.000
7 Li 0.500 0.000 0.000

Values from the calculation:
- E_tot (eV per atom) = -2.025

---

(4)
Below is a relaxed structure of Ac5CeNi4, with properties calculated at the PBE level.

a = 4.211 Å, b = 8.268 Å, c = 9.395 Å
α = 76.35°, β = 102.95°, γ = 90.00°
Each line ends with the local moment (μB).
Fractional positions:
1 Ac 0.839 0.327 0.677  0.00
2 Ac 0.833 0.842 0.665  0.00
3 Ac 0.167 0.158 0.335  0.00
4 Ac 0.500 0.500 0.000  0.00
5 Ac 0.161 0.673 0.323  0.00
6 Ce 0.500 0.000 0.000  0.38
7 Ni 0.338 0.086 0.675  -0.01
8 Ni 0.001 0.238 0.002  -0.02
9 Ni 0.662 0.914 0.325  -0.01
10 Ni 0.999 0.762 0.998  -0.02

Values from the calculation:
- E_tot (eV per atom) = -5.119

---

(5)
Below is a relaxed structure of CsNiAs2Se, with properties calculated at the PBE level.

a = 4.770 Å, b = 4.770 Å, c = 5.441 Å
α = 90.00°, β = 90.00°, γ = 90.00°
Fractional positions:
1 Cs 0.500 0.500 0.500
2 Ni 0.000 0.000 0.000
3 As 0.000 0.500 0.000
4 As 0.500 0.000 0.000
5 Se 0.000 0.000 0.500

Values from the calculation:
- formation energy from raw total energies (meV per atom) = 90

---

(6)
Below is a relaxed structure of PmHN, with properties calculated at the PBE level.

a = 3.939 Å, b = 3.939 Å, c = 3.939 Å
α = 60.00°, β = 60.00°, γ = 60.00°
Fractional positions:
1 H 0.500 0.500 0.500
2 N 0.000 0.000 0.000
3 Pm 0.250 0.250 0.250

Values from the calculation:
- E_tot (eV per atom) = -5.984

---

(7)
Below is a relaxed structure of In2Ga3I5, with properties calculated at the PBE level.

a = 6.140 Å, b = 7.292 Å, c = 10.003 Å
α = 70.31°, β = 72.13°, γ = 65.10°
Fractional positions:
1 In 0.358 0.082 0.202
2 In 0.642 0.918 0.798
3 Ga 0.500 0.500 0.500
4 Ga 0.108 0.570 0.213
5 Ga 0.892 0.430 0.787
6 I 0.000 0.000 0.000
7 I 0.128 0.187 0.556
8 I 0.872 0.813 0.444
9 I 0.637 0.572 0.154
10 I 0.363 0.428 0.846

Values from the calculation:
- formation energy from raw total energies (meV per atom) = -317

---

(8)
Below is a relaxed structure of YCdFe3, with properties calculated at the PBE level.

a = 4.802 Å, b = 4.802 Å, c = 4.802 Å
α = 90.00°, β = 90.00°, γ = 90.00°
Each line ends with the local moment (μB).
Fractional positions:
1 Y 0.500 0.500 0.500  -0.39
2 Fe 0.000 0.500 0.000  3.06
3 Fe 0.000 0.000 0.500  3.08
4 Fe 0.500 0.000 0.000  2.62
5 Cd 0.000 0.000 0.000  -0.06

Values from the calculation:
- E_tot (eV per atom) = -5.426

---

(9)
Below is a relaxed structure of ErNpAu6, with properties calculated at the PBE level.

a = 4.872 Å, b = 4.884 Å, c = 8.482 Å
α = 89.91°, β = 73.31°, γ = 60.08°
Each line ends with the local moment (μB).
Fractional positions:
1 Er 0.000 0.000 0.000  0.01
2 Np 0.000 0.500 0.500  3.79
3 Au 0.246 0.877 0.631  -0.01
4 Au 0.502 0.249 0.748  0.00
5 Au 0.253 0.374 0.119  0.00
6 Au 0.498 0.751 0.252  0.00
7 Au 0.754 0.123 0.369  -0.01
8 Au 0.747 0.626 0.881  0.00

Values from the calculation:
- E_tot (eV per atom) = -5.061

---

(10)
Below is a relaxed structure of KLiMg14, with properties calculated at the PBE level.

a = 6.511 Å, b = 6.511 Å, c = 10.663 Å
α = 90.00°, β = 90.00°, γ = 120.00°
Fractional positions:
1 K 0.000 0.000 0.000
2 Li 0.000 0.000 0.500
3 Mg 0.009 0.504 0.000
4 Mg 0.995 0.497 0.500
5 Mg 0.496 0.991 0.000
6 Mg 0.503 0.005 0.500
7 Mg 0.496 0.504 0.000
8 Mg 0.503 0.497 0.500
9 Mg 0.169 0.831 0.264
10 Mg 0.169 0.831 0.736
11 Mg 0.169 0.339 0.264
12 Mg 0.169 0.339 0.736
13 Mg 0.661 0.831 0.264
14 Mg 0.661 0.831 0.736
15 Mg 0.667 0.333 0.244
16 Mg 0.667 0.333 0.756

Values from the calculation:
- E_tot (eV per atom) = -1.502

---

Number 1: total moment 0.00 μB per formula unit. Number 2: total moment 0.00 μB per formula unit. Number 3: total moment 0.00 μB per formula unit. Number 4: total moment 0.42 μB per formula unit. Number 5: total moment 0.00 μB per formula unit. Number 6: total moment 0.00 μB per formula unit. Number 7: total moment 0.00 μB per formula unit. Number 8: total moment 7.80 μB per formula unit. Number 9: total moment 4.02 μB per formula unit. Number 10: total moment 0.00 μB per formula unit.